# 1
The following is a DFT calculation (PBE) of SrCu2Au after structural relaxation.

```
SrCu2Au
1.0
4.6769 0.0000 0.0000
0.0000 4.6769 0.0000
2.3385 2.3385 9.0205
Sr Au Cu
2 2 4
direct
0.5000 0.5000 0.0000
0.2500 0.7500 0.5000
0.0000 0.0000 0.0000
0.7500 0.2500 0.5000
0.8749 0.1250 0.2500
0.8751 0.6250 0.2500
0.3750 0.1251 0.7500
0.8750 0.1249 0.7500
```

Summary:
Energy above the most stable polymorph in this dataset: 91 meV/atom
Calculated formation energy: -0.168 eV/atom
Calculated density: 6.93 g/cm3
Electronic total energy: -3.46 eV per atom
Magnetic moment: 0.00 μB per cell
V: 24.7 Å³ per atom


# 2
The following is a DFT calculation (PBE) of YReAsPt2 after structural relaxation.

```
YReAsPt2
1.0
4.9551 0.0000 0.0000
0.0000 4.6283 0.0000
0.0000 0.0000 4.9551
Y Re As Pt
1 1 1 2
direct
0.5000 0.5000 0.5000
0.0000 0.0000 0.0000
0.0000 0.5000 0.0000
0.0000 0.0000 0.5000
0.5000 0.0000 0.0000
```

Summary:
Calculated formation energy: 0.068 eV/atom
Calculated density: 10.82 g/cm3
Electronic total energy: -7.06 eV per atom
Magnetic moment: 0.00 μB per cell
V: 22.7 Å³ per atom


# 3
The following is a DFT calculation (PBE) of Sm2Sn3Pd5 after structural relaxation.

```
Sm2Sn3Pd5
1.0
6.1508 0.0000 0.0000
3.0754 8.3445 -0.6141
3.0754 0.6804 8.3394
Sm Sn Pd
4 6 10
direct
0.1271 0.5999 0.1459
0.6271 0.1459 0.5999
0.8729 0.4001 0.8541
0.3729 0.8541 0.4001
0.3619 0.5171 0.7591
0.8619 0.7591 0.5171
0.6381 0.4829 0.2409
0.1381 0.2409 0.4829
0.2500 0.0000 0.0000
0.7500 0.0000 0.0000
0.3929 0.2683 0.9459
0.8929 0.9459 0.2683
0.6071 0.7317 0.0541
0.1071 0.0541 0.7317
0.4787 0.7713 0.7713
0.5213 0.2287 0.2287
0.7500 0.5000 0.5000
0.2500 0.5000 0.5000
0.0213 0.2287 0.2287
0.9787 0.7713 0.7713
```

Summary:
Energy above the most stable polymorph in this dataset: 38 meV/atom
Calculated formation energy: -0.705 eV/atom
Calculated density: 9.17 g/cm3
Electronic total energy: -5.45 eV per atom
Magnetic moment: 0.00 μB per cell
V: 21.5 Å³ per atom


# 4
The following is a DFT calculation (PBE) of Li2MgAu after structural relaxation.

```
Li2MgAu
1.0
-3.0206 -0.5402 -3.4110
-0.4306 -4.0310 -2.1487
-3.7055 -2.5040 0.6784
Mg Au Li
1 1 2
direct
0.5001 0.5001 0.4999
0.2500 0.2500 0.2500
0.0000 0.0000 0.0001
0.7499 0.7499 0.7501
```

Summary:
Calculated formation energy: -0.442 eV/atom
Calculated density: 5.80 g/cm3
Electronic total energy: -2.62 eV per atom
Magnetic moment: 0.00 μB per cell
V: 16.8 Å³ per atom


# 5
The following is a DFT calculation (PBE) of SbPt4W after structural relaxation.

```
SbPt4W
1.0
-1.2852 -4.8967 1.5860
-4.9758 -1.7512 -0.5657
-1.1011 -3.7476 -3.5900
Sb Pt W
1 4 1
direct
0.7500 0.7500 0.7500
0.8772 0.3743 0.3743
0.3743 0.3743 0.8772
0.3743 0.8772 0.3743
0.3743 0.3743 0.3743
0.0000 0.0000 0.0000
```

Summary:
Energy relative to the elements, uncorrected: 347.1 meV per atom
Calculated density: 17.08 g/cm3
Electronic total energy: -6.53 eV per atom
Magnetic moment: 1.33 μB per cell
V: 17.6 Å³ per atom


# 6
The following is a DFT calculation (PBE) of Mg2TaCo2 after structural relaxation.

```
Mg2TaCo2
1.0
-0.7535 2.6731 -5.5177
-4.9678 -3.5243 -1.0290
-2.4438 2.9325 1.7544
Mg Co Ta
4 4 2
direct
0.1736 0.6736 0.5000
0.6736 0.8264 0.5000
0.8264 0.3264 0.5000
0.3264 0.1736 0.5000
0.3740 0.8740 0.0000
0.8740 0.6260 0.0000
0.6260 0.1260 0.0000
0.1260 0.3740 0.0000
0.0000 0.0000 0.0000
0.5000 0.5000 0.0000
```

Summary:
Energy above the most stable polymorph in this dataset: 0 meV/atom
Calculated formation energy: 0.104 eV/atom
Calculated density: 7.20 g/cm3
Electronic total energy: -5.75 eV per atom
Magnetic moment: 0.00 μB per cell
V: 16.0 Å³ per atom


# 7
The following is a DFT calculation (PBE) of Ac3USe6 after structural relaxation.

```
Ac3USe6
1.0
4.4017 0.0000 0.0000
0.0000 11.8559 -4.3164
0.0000 0.6029 12.1774
Ac U Se
6 2 12
direct
0.2500 0.1703 0.5865
0.7500 0.8297 0.4135
0.2500 0.4910 0.3151
0.7500 0.5090 0.6849
0.2500 0.9213 0.8388
0.7500 0.0787 0.1612
0.2500 0.3182 0.9572
0.7500 0.6818 0.0428
0.2500 0.3853 0.5227
0.7500 0.6147 0.4773
0.2500 0.8928 0.0852
0.7500 0.1072 0.9148
0.2500 0.9252 0.5905
0.7500 0.0748 0.4095
0.2500 0.7098 0.2350
0.7500 0.2902 0.7650
0.2500 0.5422 0.8993
0.7500 0.4578 0.1007
0.2500 0.2481 0.1741
0.7500 0.7519 0.8259
```

Summary:
Energy above the most stable polymorph in this dataset: 8 meV/atom
Energy relative to the elements, uncorrected: -1712.6 meV per atom
Calculated density: 7.15 g/cm3
Electronic total energy: -6.16 eV per atom
Magnetic moment: 5.93 μB per cell
V: 32.3 Å³ per atom


# 8
The following is a DFT calculation (PBE) of ScTlSn after structural relaxation.

```
ScTlSn
1.0
-1.9182 1.9635 3.3401
0.9803 -3.4186 2.5726
13.4267 6.6922 3.7769
Sc Tl Sn
4 4 4
direct
0.0000 0.0000 0.8174
0.0000 0.5000 0.3174
0.5000 0.0000 0.9976
0.5000 0.5000 0.4976
0.0000 0.0000 0.1585
0.0000 0.5000 0.6585
0.0000 0.0000 0.4803
0.0000 0.5000 0.9803
0.5000 0.0000 0.6576
0.5000 0.5000 0.1576
0.5000 0.0000 0.3407
0.5000 0.5000 0.8407
```

Summary:
Energy above the most stable polymorph in this dataset: 13 meV/atom
Calculated formation energy: -0.269 eV/atom
Calculated density: 8.33 g/cm3
Electronic total energy: -4.50 eV per atom
Magnetic moment: 0.00 μB per cell
V: 24.5 Å³ per atom


# 9
The following is a DFT calculation (PBE) of ZrMoAu2 after structural relaxation.

```
ZrMoAu2
1.0
-1.1569 4.8045 -1.3106
-2.5279 -5.0197 -3.3005
-2.8634 -0.5781 0.4221
Au Mo Zr
2 1 1
direct
0.0000 0.0000 0.0000
0.0000 0.5000 0.5000
0.5000 0.5000 0.0000
0.5000 0.0000 0.5000
```

Summary:
Energy above the most stable polymorph in this dataset: 46 meV/atom
Calculated formation energy: -0.088 eV/atom
Calculated density: 13.38 g/cm3
Electronic total energy: -6.57 eV per atom
Magnetic moment: 0.00 μB per cell
V: 18.0 Å³ per atom


# 10
The following is a DFT calculation (PBE) of BaMg4ZnGa2 after structural relaxation.

```
BaMg4ZnGa2
1.0
4.7610 0.0000 0.0000
2.3805 4.1232 0.0000
2.3805 1.3744 9.8741
Ba Mg Zn Ga
1 4 1 2
direct
0.0000 0.0000 0.0000
0.4103 0.4103 0.7692
0.8648 0.8648 0.4055
0.1352 0.1352 0.5945
0.5897 0.5897 0.2308
0.5000 0.5000 0.5000
0.7565 0.7565 0.7306
0.2435 0.2435 0.2694
```

Summary:
Calculated formation energy: -0.143 eV/atom
Calculated density: 3.76 g/cm3
Electronic total energy: -2.10 eV per atom
Magnetic moment: 0.00 μB per cell
V: 24.2 Å³ per atom